[1]
# TbGa4Sb

An optimized crystal structure of TbGa4Sb (PBE-GGA, Alexandria via LeMat-Bulk).

Output
Formation energy from raw total energies = -241 meV per atom
Uncorrected energy = -3.72 eV/atom
Symmetry = F-43m, No. 216
Total moment = 0.00 Bohr magnetons per cell

```
6
Lattice="5.6095 0.0000 0.0000 2.8047 4.8580 0.0000 2.8047 1.6193 4.5801" Properties=species:S:1:pos:R:3 pbc="T T T"
Ga 5.6095 1.6185 2.8629
Ga 7.0126 4.0487 2.8629
Sb 2.8047 1.6193 1.1450
Ga 5.6095 3.2386 0.5716
Ga 4.2064 4.0487 2.8629
Tb 0.0000 0.0000 0.0000
```



[2]
# TbGaSb

An optimized crystal structure of TbGaSb (PBE-GGA, Alexandria via LeMat-Bulk).

Output
Formation energy from raw total energies = -470 meV per atom
Uncorrected energy = -4.40 eV/atom
Symmetry = P3m1, No. 156
Total moment = 0.00 Bohr magnetons per cell
Distance to the lowest polymorph of the same formula = 0.000 eV per atom

```
3
Lattice="3.9238 0.0000 0.0000 0.0000 4.7247 0.0000 0.0000 -2.3624 4.0917" Properties=species:S:1:pos:R:3 pbc="T T T"
Sb 3.0576 0.0000 2.7278
Tb 1.2288 2.3624 1.3639
Ga 3.5612 0.0000 0.0000
```



[3]
# Tb5GaSb4

An optimized crystal structure of Tb5GaSb4 (PBE-GGA, Alexandria via LeMat-Bulk).

Output
Formation energy from raw total energies = -943 meV per atom
Uncorrected energy = -5.21 eV/atom
Symmetry = I4/m, No. 87
Total moment = 0.00 Bohr magnetons per cell

```
10
Lattice="6.1668 0.0000 0.0000 3.0834 6.9051 0.0000 3.0834 0.0000 6.9051" Properties=species:S:1:pos:R:3 pbc="T T T"
Ga 0.0075 0.0000 0.0000
Tb 6.1727 5.5467 4.1436
Sb 3.0896 1.4030 2.7473
Tb 9.2561 2.7616 5.5467
Tb 3.0910 0.0000 0.0000
Sb 6.1730 4.1578 1.4030
Tb 3.0893 4.1436 1.3584
Sb 9.2564 5.5021 4.1578
Sb 6.1730 2.7473 5.5021
Tb 6.1727 1.3584 2.7616
```



[4]
# Tb7Ga2Sb2

An optimized crystal structure of Tb7Ga2Sb2 (PBE-GGA, Alexandria via LeMat-Bulk).

Output
Formation energy from raw total energies = -342 meV per atom
Uncorrected energy = -4.59 eV/atom
Symmetry = Cmmm, No. 65
Total moment = 0.00 Bohr magnetons per cell

```
11
Lattice="6.6078 -0.0035 -0.8536 0.0040 7.7139 0.0028 -1.2636 -0.0014 6.5418" Properties=species:S:1:pos:R:3 pbc="T T T"
Tb 2.6733 2.1714 2.8448
Sb 1.0674 7.7118 4.3584
Sb 4.2809 -0.0028 1.3326
Ga 4.4522 3.8529 4.7380
Tb 5.9788 5.4569 2.4191
Tb 0.0000 0.0000 0.0000
Tb 3.3070 5.4593 -0.4246
Tb -0.6305 2.2521 3.2719
Ga 0.8961 3.8561 0.9530
Tb 2.6749 5.5376 2.8462
Tb 2.0413 2.2497 6.1157
```



[5]
# Tb4GaSbTe2

An optimized crystal structure of Tb4GaSbTe2 (PBE-GGA, Alexandria via LeMat-Bulk).

Output
Formation energy from raw total energies = -1123 meV per atom
Uncorrected energy = -5.12 eV/atom
Symmetry = P2/m, No. 10
Total moment = 0.00 Bohr magnetons per cell

```
8
Lattice="4.2648 0.0000 0.0000 0.0000 7.5757 0.1818 0.0000 -2.5993 7.1513" Properties=species:S:1:pos:R:3 pbc="T T T"
Tb 0.0000 0.0024 5.5410
Sb 0.0000 0.0000 0.0000
Ga 2.1324 3.7878 0.0909
Te 2.1324 -1.2997 3.5756
Tb 0.0000 4.9740 1.7920
Tb 2.1324 1.3368 1.7084
Te 0.0000 2.4882 3.6665
Tb 2.1324 3.6396 5.6246
```



[6]
# Tb8GaSb3Te4

An optimized crystal structure of Tb8GaSb3Te4 (PBE-GGA, Alexandria via LeMat-Bulk).

Output
Formation energy from raw total energies = -1214 meV per atom
Uncorrected energy = -5.28 eV/atom
Symmetry = R-3m, No. 166
Total moment = 0.00 Bohr magnetons per cell

```
16
Lattice="-4.0609 -4.9568 -5.9514 7.2703 -4.7913 -0.9702 -3.5067 1.0517 7.9422" Properties=species:S:1:pos:R:3 pbc="T T T"
Tb 0.9433 -2.4807 -1.6625
Te 0.0000 0.0000 0.0000
Tb 0.8705 -3.6388 5.7771
Tb 0.6149 -6.7231 -1.2453
Sb 1.8818 -1.8698 3.4860
Ga 3.6352 -2.3957 -0.4851
Sb -0.1486 -4.3482 0.5103
Tb 2.6933 -4.1862 1.6488
Te -3.7838 -1.9526 0.9954
Tb -1.1678 -5.0576 -4.7565
Tb -0.9121 -1.9733 2.2660
Te -1.7534 0.5258 3.9711
Te -2.0304 -2.4784 -2.9757
Tb -1.2406 -6.2157 2.6831
Sb 1.6047 -4.8741 -3.4608
Tb -2.9906 -4.5103 -0.6282
```



[7]
# Ga2Tc2Sb

An optimized crystal structure of Ga2Tc2Sb (PBE-GGA, Alexandria via LeMat-Bulk).

Output
Formation energy from raw total energies = 27 meV per atom
Uncorrected energy = -6.15 eV/atom
Symmetry = I4/mmm, No. 139
Total moment = 0.00 Bohr magnetons per cell
Distance to the lowest polymorph of the same formula = 0.000 eV per atom

```
5
Lattice="-2.5912 0.5672 2.2586 -1.3608 -3.1108 -0.7800 1.7469 -4.1528 5.7340" Properties=species:S:1:pos:R:3 pbc="T T T"
Tc -1.2010 -1.8715 1.7790
Sb 0.0000 0.0000 0.0000
Ga -1.4101 -2.4287 4.3659
Ga -0.7950 -4.2677 2.8466
Tc -1.0041 -4.8248 5.4335
```



[8]
# GaTc3Sb

An optimized crystal structure of GaTc3Sb (PBE-GGA, Alexandria via LeMat-Bulk).

Output
Formation energy from raw total energies = 1244 meV per atom
Uncorrected energy = -6.41 eV/atom
Symmetry = Pm-3m, No. 221
Total moment = 2.50 Bohr magnetons per cell
Distance to the lowest polymorph of the same formula = 0.000 eV per atom

```
5
Lattice="-3.5466 1.7179 -2.3226 -2.8619 -2.5905 2.4541 -0.3937 3.3559 3.0833" Properties=species:S:1:pos:R:3 pbc="T T T"
Tc -1.4310 -1.2953 1.2270
Ga 0.0000 0.0000 0.0000
Tc -0.1969 1.6779 1.5417
Sb -3.4011 1.2416 1.6074
Tc -1.7733 0.8589 -1.1613
```



[9]
# Ga2Tc2Sb

An optimized crystal structure of Ga2Tc2Sb (PBE-GGA, Alexandria via LeMat-Bulk).

Output
Formation energy from raw total energies = 243 meV per atom
Uncorrected energy = -5.94 eV/atom
Symmetry = P4/mbm, No. 127
Total moment = 0.00 Bohr magnetons per cell
Distance to the lowest polymorph of the same formula = 0.216 eV per atom

```
10
Lattice="-2.8108 -5.7398 -3.2624 6.4829 -1.7288 -2.5440 0.5602 -1.7690 2.6297" Properties=species:S:1:pos:R:3 pbc="T T T"
Tc 3.7903 -6.1596 -2.9815
Tc 0.4420 -3.0780 -0.1952
Tc 0.0915 -6.2292 -2.2403
Sb 0.0000 0.0000 0.0000
Ga 4.6161 -3.6603 -3.4456
Sb 1.8361 -3.7343 -2.9032
Ga -0.9440 -3.8083 -2.3608
Tc 4.1408 -3.0084 -0.9363
Ga 2.0737 -1.3684 -1.3623
Ga 1.5984 -6.1002 -4.4441
```



[10]
# GaTc3Sb

An optimized crystal structure of GaTc3Sb (PBE-GGA, Alexandria via LeMat-Bulk).

Output
Formation energy from raw total energies = 1786 meV per atom
Uncorrected energy = -5.86 eV/atom
Symmetry = Pm-3m, No. 221
Total moment = 2.55 Bohr magnetons per cell
Distance to the lowest polymorph of the same formula = 0.541 eV per atom

```
5
Lattice="-4.1938 -2.1659 1.0797 2.2525 -4.2833 0.1569 0.8849 0.6381 4.7175" Properties=species:S:1:pos:R:3 pbc="T T T"
Tc 1.1262 -2.1416 0.0784
Tc 0.4424 0.3191 2.3587
Sb 0.0000 0.0000 0.0000
Tc -2.0969 -1.0829 0.5398
Ga -0.5282 -2.9055 2.9770
```



[11]
# GaTcSb

An optimized crystal structure of GaTcSb (PBE-GGA, Alexandria via LeMat-Bulk).

Output
Formation energy from raw total energies = -99 meV per atom
Uncorrected energy = -5.94 eV/atom
Symmetry = Pnma, No. 62
Total moment = 0.00 Bohr magnetons per cell
Distance to the lowest polymorph of the same formula = 0.000 eV per atom

```
12
Lattice="3.4778 0.0000 0.0000 0.0000 6.9369 0.0000 0.0000 0.0000 8.7642" Properties=species:S:1:pos:R:3 pbc="T T T"
Ga 2.6083 6.1138 0.5005
Sb 2.6083 6.4550 5.6889
Ga 2.6083 2.6453 3.8816
Sb 0.8694 3.9503 1.3068
Sb 0.8694 0.4819 3.0754
Tc 2.6083 1.7618 1.3167
Ga 0.8694 4.2915 4.8826
Ga 0.8694 0.8231 8.2637
Tc 0.8694 1.7066 5.6989
Sb 2.6083 2.9865 7.4575
Tc 0.8694 5.1750 7.4475
Tc 2.6083 5.2302 3.0654
```



[12]
# GaTcSb

An optimized crystal structure of GaTcSb (PBE-GGA, Alexandria via LeMat-Bulk).

Output
Formation energy from raw total energies = 216 meV per atom
Uncorrected energy = -5.62 eV/atom
Symmetry = C2/m, No. 12
Total moment = 0.00 Bohr magnetons per cell
Distance to the lowest polymorph of the same formula = 0.315 eV per atom

```
6
Lattice="3.6354 0.0000 0.0000 -1.8177 4.8312 -0.1332 0.0000 -1.4102 6.9207" Properties=species:S:1:pos:R:3 pbc="T T T"
Sb 0.0000 0.5935 3.0550
Sb 1.8177 2.8275 3.7326
Tc 0.0000 2.0320 5.4529
Tc 1.8177 1.3890 1.3346
Ga 1.8177 -0.0235 5.7385
Ga 0.0000 3.4446 1.0490
```



> Look up the total moment of the seventh one.

0.00 Bohr magnetons per cell



Copy entry 3 word for word.
# Tb5GaSb4

An optimized crystal structure of Tb5GaSb4 (PBE-GGA, Alexandria via LeMat-Bulk).

Output
Formation energy from raw total energies = -943 meV per atom
Uncorrected energy = -5.21 eV/atom
Symmetry = I4/m, No. 87
Total moment = 0.00 Bohr magnetons per cell

```
10
Lattice="6.1668 0.0000 0.0000 3.0834 6.9051 0.0000 3.0834 0.0000 6.9051" Properties=species:S:1:pos:R:3 pbc="T T T"
Ga 0.0075 0.0000 0.0000
Tb 6.1727 5.5467 4.1436
Sb 3.0896 1.4030 2.7473
Tb 9.2561 2.7616 5.5467
Tb 3.0910 0.0000 0.0000
Sb 6.1730 4.1578 1.4030
Tb 3.0893 4.1436 1.3584
Sb 9.2564 5.5021 4.1578
Sb 6.1730 2.7473 5.5021
Tb 6.1727 1.3584 2.7616
```



> Number 2 is which compound?

TbGaSb